# 1
Compound: Ce3CdIn
Source: the Alexandria database
Functional: PBE
Structure: relaxed

Values from the calculation:
Total DFT energy (no corrections) (eV/atom): -3.8531
N(E_F) (states/eV/f.u.): 19.38
M_tot (μB/atom): 0.81
Crystal system: tetragonal
Energy relative to the elements (eV/atom): 0.44
Space group: I-4m2

a = 6.006 Å, b = 6.006 Å, c = 11.907 Å
α = 104.61°, β = 104.61°, γ = 90.00°
Sites, in units of the cell vectors:
Ce 0.123 0.389 0.246
Ce 0.123 0.857 0.246
Ce 0.731 0.731 0.462
Ce 0.143 0.877 0.754
Ce 0.269 0.269 0.538
Ce 0.611 0.877 0.754
In 0.000 0.000 0.000
In 0.250 0.750 0.500
Cd 0.839 0.339 0.678
Cd 0.661 0.161 0.322

***

# 2
Compound: IrCl
Source: the Alexandria database
Functional: PBE
Structure: relaxed

Values from the calculation:
Total DFT energy (no corrections) (eV/atom): -4.9306
N(E_F) (states/eV/f.u.): 2.64
M_tot (μB/atom): 0.00
Crystal system: orthorhombic
E_form (uncorrected) (kcal/mol of atoms): 9.76
Space group: P2_12_12_1

a = 7.221 Å, b = 5.352 Å, c = 8.180 Å
α = 90.00°, β = 90.00°, γ = 90.00°
Sites, in units of the cell vectors:
Ir 0.304 0.186 0.016
Ir 0.696 0.686 0.484
Ir 0.019 0.116 0.780
Ir 0.519 0.384 0.220
Ir 0.196 0.814 0.516
Ir 0.481 0.884 0.280
Ir 0.981 0.616 0.720
Ir 0.804 0.314 0.984
Cl 0.052 0.331 0.160
Cl 0.364 0.194 0.447
Cl 0.552 0.169 0.840
Cl 0.864 0.306 0.553
Cl 0.948 0.831 0.340
Cl 0.636 0.694 0.053
Cl 0.136 0.806 0.947
Cl 0.448 0.669 0.660

***

# 3
Compound: ScCd5Ag
Source: the Alexandria database
Functional: PBE
Structure: relaxed

Values from the calculation:
Total DFT energy (no corrections) (eV/atom): -1.9944
N(E_F) (states/eV/f.u.): 3.30
M_tot (μB/atom): 0.00
Crystal system: monoclinic
Energy relative to the elements (eV/atom): -0.03
Space group: C2/c

a = 6.040 Å, b = 6.040 Å, c = 10.481 Å
α = 78.91°, β = 78.91°, γ = 59.66°
Sites, in units of the cell vectors:
Cd 0.797 0.203 0.750
Cd 0.605 0.688 0.462
Cd 0.312 0.395 0.038
Cd 0.395 0.312 0.538
Cd 0.293 0.181 0.819
Cd 0.181 0.293 0.319
Cd 0.707 0.819 0.181
Cd 0.203 0.797 0.250
Cd 0.819 0.707 0.681
Cd 0.688 0.605 0.962
Sc 0.702 0.298 0.250
Sc 0.298 0.702 0.750
Ag 0.000 0.000 0.500
Ag 0.000 0.000 0.000

***

# 4
Compound: CsTePbO4
Source: the Alexandria database
Functional: PBE
Structure: relaxed

Values from the calculation:
Total DFT energy (no corrections) (eV/atom): -5.0814
N(E_F) (states/eV/f.u.): 2.48
M_tot (μB/atom): 0.00
Crystal system: monoclinic
E_form (uncorrected) (kcal/mol of atoms): -26.46
Space group: P2_1/m

a = 6.214 Å, b = 6.647 Å, c = 8.841 Å
α = 90.00°, β = 116.01°, γ = 90.00°
Sites, in units of the cell vectors:
O 0.414 0.750 0.505
O 0.446 0.750 0.210
O 0.554 0.250 0.790
O 0.036 0.000 0.297
O 0.586 0.250 0.495
O 0.964 0.500 0.703
O 0.964 0.000 0.703
O 0.036 0.500 0.297
Te 0.183 0.750 0.274
Te 0.817 0.250 0.726
Pb 0.785 0.750 0.494
Pb 0.215 0.250 0.506
Cs 0.458 0.750 0.856
Cs 0.542 0.250 0.144